1.
DFT (PBE) results for crystalline TaGaNi4 at its relaxed geometry.

Cell: 6.3103 6.3108 6.1726 Å, 120.75 120.74 90.00°
Last column: nearest neighbours and their distance in Å.
Element x y z (fractional)
Ta: 0.5000 0.5000 0.0000  8 Ni 2.51-2.55
Ta: 0.7500 0.2500 0.5000  8 Ni 2.51-2.55
Ga: 0.0000 0.0000 0.0000  8 Ni 2.36-2.41
Ga: 0.2500 0.7500 0.5000  8 Ni 2.36-2.41
Ni: 0.3720 0.0898 0.4804  2 Ga 2.36-2.41, 2 Ta 2.51-2.55, 3 Ni 2.52-2.54
Ni: 0.6406 0.1220 0.9804  2 Ga 2.36-2.41, 2 Ta 2.51-2.55, 3 Ni 2.52-2.54
Ni: 0.3398 0.8584 0.9804  2 Ga 2.36-2.41, 2 Ta 2.51-2.55, 3 Ni 2.52-2.54
Ni: 0.1084 0.3906 0.4804  2 Ga 2.36-2.41, 2 Ta 2.51-2.55, 3 Ni 2.52-2.54
Ni: 0.1416 0.3594 0.0196  2 Ga 2.36-2.41, 2 Ta 2.51-2.55, 3 Ni 2.52-2.54
Ni: 0.9102 0.8916 0.5196  2 Ga 2.36-2.41, 2 Ta 2.51-2.55, 3 Ni 2.52-2.54
Ni: 0.6094 0.6280 0.5196  2 Ga 2.36-2.41, 2 Ta 2.51-2.55, 3 Ni 2.52-2.54
Ni: 0.8780 0.6602 0.0196  2 Ga 2.36-2.41, 2 Ta 2.51-2.55, 3 Ni 2.52-2.54

Computed properties:
Energy relative to the lowest polymorph listed for this composition in kcal/mol of atoms: 9.65
DOS(E_F) in states/eV per cell: 8.99
Uncorrected energy in eV/atom: -6.215
M_tot in μB/f.u.: 0.00

2.
DFT (PBE) results for crystalline Ta2GaNi9 at its relaxed geometry.

Cell: 3.6568 3.6568 10.8613 Å, 90.00 90.00 90.00°
Last column: nearest neighbours and their distance in Å.
Element x y z (fractional)
Ta: 0.0000 0.0000 0.3267  12 Ni 2.54-2.62
Ta: 0.0000 0.0000 0.6733  12 Ni 2.54-2.62
Ga: 0.0000 0.0000 0.0000  12 Ni 2.56-2.59
Ni: 0.5000 0.5000 0.0000  8 Ni 2.56, 4 Ga 2.59
Ni: 0.5000 0.5000 0.3333  8 Ni 2.57-2.59, 4 Ta 2.59
Ni: 0.5000 0.5000 0.6667  8 Ni 2.57-2.59, 4 Ta 2.59
Ni: 0.5000 0.0000 0.1644  2 Ta 2.54, 8 Ni 2.56-2.59, 2 Ga 2.56
Ni: 0.5000 0.0000 0.5000  8 Ni 2.57-2.59, 4 Ta 2.62
Ni: 0.5000 0.0000 0.8356  2 Ta 2.54, 8 Ni 2.56-2.59, 2 Ga 2.56
Ni: 0.0000 0.5000 0.1644  2 Ta 2.54, 8 Ni 2.56-2.59, 2 Ga 2.56
Ni: 0.0000 0.5000 0.5000  8 Ni 2.57-2.59, 4 Ta 2.62
Ni: 0.0000 0.5000 0.8356  2 Ta 2.54, 8 Ni 2.56-2.59, 2 Ga 2.56

Computed properties:
DOS(E_F) in states/eV per cell: 5.63
Uncorrected energy in eV/atom: -6.891
M_tot in μB/f.u.: 0.00

3.
DFT (PBE) results for crystalline TaGaNi2 at its relaxed geometry.

Cell: 6.6941 6.6941 5.4150 Å, 51.82 51.82 90.00°
Last column: nearest neighbours and their distance in Å.
Element x y z (fractional)
Ni: 0.6126 0.1250 0.2500  2 Ga 2.40, 2 Ta 2.51, 2 Ni 2.64
Ni: 0.1374 0.6250 0.2500  2 Ga 2.40, 2 Ta 2.51, 2 Ni 2.64
Ni: 0.3750 0.3874 0.7500  2 Ga 2.40, 2 Ta 2.51, 2 Ni 2.64
Ni: 0.8750 0.8626 0.7500  2 Ga 2.40, 2 Ta 2.51, 2 Ni 2.64
Ga: 0.5000 0.5000 0.0000  4 Ni 2.40, 2 Ta 2.63
Ga: 0.2500 0.7500 0.5000  4 Ni 2.40, 2 Ta 2.63
Ta: 0.0000 0.0000 0.0000  4 Ni 2.51, 2 Ga 2.63
Ta: 0.7500 0.2500 0.5000  4 Ni 2.51, 2 Ga 2.63

Computed properties:
DOS(E_F) in states/eV per cell: 10.19
Uncorrected energy in eV/atom: -6.420
M_tot in μB/f.u.: 0.00

4.
DFT (PBE) results for crystalline Ta2Ga4Ni at its relaxed geometry.

Cell: 2.9736 5.4950 7.7182 Å, 110.39 101.11 90.00°
Last column: nearest neighbours and their distance in Å.
Element x y z (fractional)
Ta: 0.7563 0.7728 0.5127  6 Ga 2.75-2.82, 4 Ta 2.97
Ta: 0.2437 0.2272 0.4873  6 Ga 2.75-2.82, 4 Ta 2.97
Ga: 0.9047 0.2593 0.8094  1 Ni 2.36
Ga: 0.0953 0.7407 0.1906  1 Ni 2.36
Ga: 0.6006 0.3215 0.2011  2 Ni 2.40
Ga: 0.3994 0.6785 0.7989  2 Ni 2.40
Ni: 0.0000 0.0000 0.0000  6 Ga 2.36-2.40

Computed properties:
DOS(E_F) in states/eV per cell: 3.59
Uncorrected energy in eV/atom: -6.030
M_tot in μB/f.u.: 0.00